Record 1
First-principles (PBE-GGA) data for crystalline NdCuIr at its relaxed geometry, as listed in Alexandria via LeMat-Bulk.

abc: 5.6307 5.6307 4.7069
angles: 114.40 114.40 61.78
Element x y z (fractional)
Nd1 0.1304 0.1304 0.3797
Nd2 0.8696 0.8696 0.6203
Cu1 0.4958 0.4958 0.7459
Cu2 0.5042 0.5042 0.2541
Ir1 0.0000 0.5000 0.0000
Ir2 0.5000 0.0000 0.0000

Computed properties:
Energy above the most stable polymorph in this dataset = 0.743 eV/f.u.
Density of states at the Fermi level = 1.61 states/eV per cell
Crystal system = monoclinic
Total magnetization = 0.00 Bohr magnetons per cell
VASP energy = -36.71 eV/cell

Record 2
First-principles (PBE-GGA) data for crystalline PRu3C at its relaxed geometry, as listed in Alexandria via LeMat-Bulk.

abc: 4.0146 4.0146 4.0146
angles: 90.00 90.00 90.00
Element x y z (fractional)
P1 0.0000 0.0000 0.0000
Ru1 0.0000 0.5000 0.5000
Ru2 0.5000 0.0000 0.5000
Ru3 0.5000 0.5000 0.0000
C1 0.5000 0.5000 0.5000

Computed properties:
Energy above the most stable polymorph in this dataset = 0.000 eV/f.u.
Density of states at the Fermi level = 4.64 states/eV per cell
Crystal system = cubic
Total magnetization = 0.00 Bohr magnetons per cell
VASP energy = -40.35 eV/cell

Record 3
First-principles (PBE-GGA) data for crystalline CsSmSb2Au2 at its relaxed geometry, as listed in Alexandria via LeMat-Bulk.

abc: 4.7121 4.7121 9.9365
angles: 90.00 90.00 120.00
Element x y z (fractional)
Cs1 0.0000 0.0000 0.0000
Sm1 0.0000 0.0000 0.5000
Sb1 0.3333 0.6667 0.7112
Sb2 0.6667 0.3333 0.2888
Au1 0.3333 0.6667 0.3312
Au2 0.6667 0.3333 0.6688

Computed properties:
Density of states at the Fermi level = 1.67 states/eV per cell
Crystal system = trigonal
Total magnetization = 0.00 Bohr magnetons per cell
Formation energy from raw total energies = -0.72 eV per atom
VASP energy = -24.69 eV/cell

Record 4
First-principles (PBE-GGA) data for crystalline Li2PmBO4 at its relaxed geometry, as listed in Alexandria via LeMat-Bulk.

abc: 5.4873 5.4873 9.5320
angles: 90.00 90.00 146.07
Element x y z (fractional)
Li1 0.1216 0.8784 0.5391
Li2 0.1216 0.8784 0.9609
Li3 0.8784 0.1216 0.0391
Li4 0.8784 0.1216 0.4609
Pm1 0.4377 0.5623 0.7500
Pm2 0.5623 0.4377 0.2500
B1 0.2819 0.7181 0.2500
B2 0.7181 0.2819 0.7500
O1 0.1080 0.8920 0.7500
O2 0.2181 0.7819 0.1280
O3 0.2181 0.7819 0.3720
O4 0.5000 0.5000 0.0000
O5 0.5000 0.5000 0.5000
O6 0.7819 0.2181 0.6280
O7 0.7819 0.2181 0.8720
O8 0.8920 0.1080 0.2500

Computed properties:
Crystal system = orthorhombic
Total magnetization = 0.00 Bohr magnetons per cell
Formation energy from raw total energies = -2.33 eV per atom
VASP energy = -107.40 eV/cell